Entry from the Alexandria database: crystalline Ho3ScPb12 at its relaxed geometry (PBE).

Output
**Formation energy**: -0.229 eV/atom
**Total energy**: -4.2640 eV/atom
**Space-group type**: No. 123

Cell: 4.895 4.895 19.137 Å, 90.00 90.00 90.00°
Fractional coordinates of all 16 atoms:
Ho 0.000 0.000 0.000
Ho 0.000 0.000 0.252
Ho 0.000 0.000 0.748
Sc 0.000 0.000 0.500
Pb 0.000 0.500 0.126
Pb 0.000 0.500 0.379
Pb 0.000 0.500 0.621
Pb 0.000 0.500 0.874
Pb 0.500 0.000 0.126
Pb 0.500 0.000 0.379
Pb 0.500 0.000 0.621
Pb 0.500 0.000 0.874
Pb 0.500 0.500 0.000
Pb 0.500 0.500 0.253
Pb 0.500 0.500 0.500
Pb 0.500 0.500 0.747



Entry from the Alexandria database: crystalline HoScPbSe at its relaxed geometry (PBE).

Output
**Total energy**: -5.5428 eV/atom
**Space-group type**: No. 8
**Uncorrected formation energy**: -1017.3 meV per atom

Cell: 6.547 3.790 8.306 Å, 90.00 105.23 90.00°
Fractional coordinates of all 8 atoms:
Ho 0.000 0.000 0.000
Ho 0.500 0.500 0.000
Sc 0.306 0.500 0.417
Sc 0.806 0.000 0.417
Pb 0.234 0.000 0.696
Pb 0.734 0.500 0.696
Se 0.408 0.000 0.225
Se 0.908 0.500 0.225



Entry from the Alexandria database: crystalline HoScSnPb at its relaxed geometry (PBE).

Output
**Formation energy**: -0.392 eV/atom
**Total energy**: -5.0468 eV/atom
**Space-group type**: No. 216

Cell: 7.457 7.457 7.457 Å, 90.00 90.00 90.00°
Fractional coordinates of all 16 atoms:
Ho 0.000 0.000 0.000
Ho 0.000 0.500 0.500
Ho 0.500 0.000 0.500
Ho 0.500 0.500 0.000
Sc 0.000 0.000 0.500
Sc 0.000 0.500 0.000
Sc 0.500 0.000 0.000
Sc 0.500 0.500 0.500
Sn 0.250 0.250 0.250
Sn 0.250 0.750 0.750
Sn 0.750 0.250 0.750
Sn 0.750 0.750 0.250
Pb 0.250 0.250 0.750
Pb 0.250 0.750 0.250
Pb 0.750 0.250 0.250
Pb 0.750 0.750 0.750



Entry from the Alexandria database: crystalline HoScTlPb at its relaxed geometry (PBE).

Output
**Formation energy**: -0.284 eV/atom
**Total energy**: -4.5300 eV/atom
**Space-group type**: No. 216

Cell: 7.465 7.465 7.465 Å, 90.00 90.00 90.00°
Fractional coordinates of all 16 atoms:
Ho 0.000 0.000 0.000
Ho 0.000 0.500 0.500
Ho 0.500 0.000 0.500
Ho 0.500 0.500 0.000
Sc 0.000 0.000 0.500
Sc 0.000 0.500 0.000
Sc 0.500 0.000 0.000
Sc 0.500 0.500 0.500
Tl 0.250 0.250 0.750
Tl 0.250 0.750 0.250
Tl 0.750 0.250 0.250
Tl 0.750 0.750 0.750
Pb 0.250 0.250 0.250
Pb 0.250 0.750 0.750
Pb 0.750 0.250 0.750
Pb 0.750 0.750 0.250



Entry from the Alexandria database: crystalline HoScZnPb at its relaxed geometry (PBE).

Output
**Formation energy**: -0.326 eV/atom
**Total energy**: -4.2986 eV/atom
**Space-group type**: No. 216

Cell: 7.203 7.203 7.203 Å, 90.00 90.00 90.00°
Fractional coordinates of all 16 atoms:
Ho 0.000 0.000 0.000
Ho 0.000 0.500 0.500
Ho 0.500 0.000 0.500
Ho 0.500 0.500 0.000
Sc 0.000 0.000 0.500
Sc 0.000 0.500 0.000
Sc 0.500 0.000 0.000
Sc 0.500 0.500 0.500
Zn 0.250 0.250 0.750
Zn 0.250 0.750 0.250
Zn 0.750 0.250 0.250
Zn 0.750 0.750 0.750
Pb 0.250 0.250 0.250
Pb 0.250 0.750 0.750
Pb 0.750 0.250 0.750
Pb 0.750 0.750 0.250



Entry from the Alexandria database: crystalline Ho3Pb5Se12 at its relaxed geometry (PBE).

Output
**Total energy**: -4.4535 eV/atom
**Space-group type**: No. 230
**Uncorrected formation energy**: -749.0 meV per atom

Cell: 14.717 14.717 14.717 Å, 109.47 109.47 109.47°
Fractional coordinates of all 80 atoms:
Ho 0.125 0.250 0.375
Ho 0.125 0.375 0.750
Ho 0.250 0.375 0.125
Ho 0.250 0.875 0.625
Ho 0.375 0.125 0.250
Ho 0.375 0.750 0.125
Ho 0.625 0.250 0.875
Ho 0.625 0.875 0.750
Ho 0.750 0.125 0.375
Ho 0.750 0.625 0.875
Ho 0.875 0.625 0.250
Ho 0.875 0.750 0.625
Pb 0.000 0.000 0.000
Pb 0.000 0.000 0.500
Pb 0.000 0.500 0.000
Pb 0.000 0.500 0.500
Pb 0.125 0.750 0.875
Pb 0.125 0.875 0.250
Pb 0.250 0.125 0.875
Pb 0.250 0.625 0.375
Pb 0.375 0.250 0.625
Pb 0.375 0.625 0.750
Pb 0.500 0.000 0.000
Pb 0.500 0.000 0.500
Pb 0.500 0.500 0.000
Pb 0.500 0.500 0.500
Pb 0.625 0.375 0.250
Pb 0.625 0.750 0.375
Pb 0.750 0.375 0.625
Pb 0.750 0.875 0.125
Pb 0.875 0.125 0.750
Pb 0.875 0.250 0.125
Se 0.060 0.230 0.144
Se 0.060 0.330 0.916
Se 0.084 0.644 0.414
Se 0.084 0.940 0.670
Se 0.086 0.730 0.670
Se 0.086 0.856 0.416
Se 0.144 0.060 0.230
Se 0.144 0.584 0.914
Se 0.170 0.230 0.586
Se 0.170 0.440 0.584
Se 0.230 0.144 0.060
Se 0.230 0.586 0.170
Se 0.270 0.330 0.914
Se 0.270 0.440 0.356
Se 0.330 0.914 0.270
Se 0.330 0.916 0.060
Se 0.356 0.270 0.440
Se 0.356 0.586 0.916
Se 0.414 0.084 0.644
Se 0.414 0.830 0.770
Se 0.416 0.086 0.856
Se 0.416 0.830 0.560
Se 0.440 0.356 0.270
Se 0.440 0.584 0.170
Se 0.560 0.416 0.830
Se 0.560 0.644 0.730
Se 0.584 0.170 0.440
Se 0.584 0.914 0.144
Se 0.586 0.170 0.230
Se 0.586 0.916 0.356
Se 0.644 0.414 0.084
Se 0.644 0.730 0.560
Se 0.670 0.084 0.940
Se 0.670 0.086 0.730
Se 0.730 0.560 0.644
Se 0.730 0.670 0.086
Se 0.770 0.414 0.830
Se 0.770 0.856 0.940
Se 0.830 0.560 0.416
Se 0.830 0.770 0.414
Se 0.856 0.416 0.086
Se 0.856 0.940 0.770
Se 0.914 0.144 0.584
Se 0.914 0.270 0.330
Se 0.916 0.060 0.330
Se 0.916 0.356 0.586
Se 0.940 0.670 0.084
Se 0.940 0.770 0.856



Entry from the Alexandria database: crystalline Ho3Pb2Se at its relaxed geometry (PBE).

Output
**Total energy**: -4.9646 eV/atom
**Space-group type**: No. 71
**Uncorrected formation energy**: -858.9 meV per atom

Cell: 3.965 6.175 13.889 Å, 90.00 90.00 90.00°
Fractional coordinates of all 12 atoms:
Ho 0.000 0.000 0.000
Ho 0.000 0.000 0.348
Ho 0.000 0.000 0.652
Ho 0.500 0.500 0.152
Ho 0.500 0.500 0.500
Ho 0.500 0.500 0.848
Pb 0.000 0.500 0.329
Pb 0.000 0.500 0.671
Pb 0.500 0.000 0.171
Pb 0.500 0.000 0.829
Se 0.000 0.500 0.000
Se 0.500 0.000 0.500



Entry from the Alexandria database: crystalline HoPb2Se4 at its relaxed geometry (PBE).

Output
**Total energy**: -4.5648 eV/atom
**Space-group type**: No. 63
**Uncorrected formation energy**: -860.1 meV per atom

Cell: 7.408 7.408 13.795 Å, 90.00 90.00 147.93°
Fractional coordinates of all 14 atoms:
Ho 0.108 0.892 0.750
Ho 0.892 0.108 0.250
Pb 0.366 0.634 0.565
Pb 0.366 0.634 0.935
Pb 0.634 0.366 0.065
Pb 0.634 0.366 0.435
Se 0.000 0.000 0.000
Se 0.000 0.000 0.500
Se 0.290 0.710 0.137
Se 0.290 0.710 0.363
Se 0.468 0.532 0.750
Se 0.532 0.468 0.250
Se 0.710 0.290 0.637
Se 0.710 0.290 0.863



Q: Among the records above, which one has the lowest total energy?
A: HoScPbSe



Q: Among the records above, which one has the highest total energy?
A: Ho3ScPb12



Q: Which of these has the highest total energy?
A: Ho3ScPb12



Q: Which value of total energy does entry 4 give?
A: -4.5300 eV/atom